[1]
A relaxed Cs2NaInAg crystal, computed with PBE.

a b c (Å): 7.1242 7.1242 5.4342
angles (deg): 90.00 90.00 90.00
With the nearest neighbours (Å) after each atom.
Element x y z (fractional)
Cs: 0.0000 0.5000 0.0000  2 Ag 3.56
Cs: 0.5000 0.0000 0.0000  2 Ag 3.56
Na: 0.0000 0.0000 0.5000  8 Cs 4.48
In: 0.5000 0.5000 0.5000  2 Ag 2.72
Ag: 0.5000 0.5000 0.0000  2 In 2.72

Values from the calculation:
Crystal system ... tetragonal
Space group ... P4/mmm, No. 123
Formation energy ... 0.085 eV/atom
Total magnetic moment ... 0.0 μB per formula unit

[2]
A relaxed CsNaIn2Ag crystal, computed with PBE.

a b c (Å): 5.4678 5.4678 5.9604
angles (deg): 90.00 90.00 90.00
With the nearest neighbours (Å) after each atom.
Element x y z (fractional)
Cs: 0.0000 0.0000 0.0000  4 Na 3.87, 8 In 4.04
Na: 0.5000 0.5000 0.0000  2 Ag 2.98
In: 0.0000 0.5000 0.5000  2 Ag 2.73
In: 0.5000 0.0000 0.5000  2 Ag 2.73
Ag: 0.5000 0.5000 0.5000  4 In 2.73, 2 Na 2.98

Values from the calculation:
Crystal system ... tetragonal
Space group ... P4/mmm, No. 123
Formation energy ... 0.029 eV/atom
Total magnetic moment ... 0.0 μB per formula unit

[3]
A relaxed CsNa2InAg crystal, computed with PBE.

a b c (Å): 6.1151 6.1151 5.4216
angles (deg): 90.00 90.00 90.00
With the nearest neighbours (Å) after each atom.
Element x y z (fractional)
Cs: 0.0000 0.0000 0.0000  8 Na 4.09, 4 Ag 4.32
Na: 0.0000 0.5000 0.5000  2 In 3.06
Na: 0.5000 0.0000 0.5000  2 In 3.06
In: 0.5000 0.5000 0.5000  2 Ag 2.71
Ag: 0.5000 0.5000 0.0000  2 In 2.71

Values from the calculation:
Relative energy among the computed polymorphs ... 0.027 eV/atom
Crystal system ... tetragonal
Space group ... P4/mmm, No. 123
Formation energy ... 0.037 eV/atom
Total magnetic moment ... 0.0 μB per formula unit

Copy entry 1 word for word.
A relaxed Cs2NaInAg crystal, computed with PBE.

a b c (Å): 7.1242 7.1242 5.4342
angles (deg): 90.00 90.00 90.00
With the nearest neighbours (Å) after each atom.
Element x y z (fractional)
Cs: 0.0000 0.5000 0.0000  2 Ag 3.56
Cs: 0.5000 0.0000 0.0000  2 Ag 3.56
Na: 0.0000 0.0000 0.5000  8 Cs 4.48
In: 0.5000 0.5000 0.5000  2 Ag 2.72
Ag: 0.5000 0.5000 0.0000  2 In 2.72

Values from the calculation:
Crystal system ... tetragonal
Space group ... P4/mmm, No. 123
Formation energy ... 0.085 eV/atom
Total magnetic moment ... 0.0 μB per formula unit